# ZnInIr (GGA-PBE, relaxed)
# - calculated volume (Å³/f.u.) = 59
# - energy (Ry per atom) = -0.320
# - symmetry = No. 216
data_ZnInIr
_chemical_formula_sum 'Zn1 In1 Ir1'
_space_group_name_H-M_alt 'P 1'
_space_group_IT_number 1
_cell_length_a 4.373
_cell_length_b 4.373
_cell_length_c 4.373
_cell_angle_alpha 60.00
_cell_angle_beta 60.00
_cell_angle_gamma 60.00
loop_
_space_group_symop_operation_xyz
'x,y,z'
loop_
_atom_site_label
_atom_site_fract_x
_atom_site_fract_y
_atom_site_fract_z
Zn1 0.750 0.750 0.750
In1 0.250 0.250 0.250
Ir1 0.000 0.000 0.000